1.
A relaxed structure of KPSe2. Source: the Alexandria database, functional PBE.

- Symmetry: No. 99

a = 3.8906 Å, b = 3.8914 Å, c = 7.5170 Å
α = 90.00°, β = 90.00°, γ = 90.00°
With the nearest neighbours (Å) after each atom.
Positions (direct):
1 K 0.0000 0.0000 0.4429  5 Se 3.17-3.28
2 P 0.5000 0.5000 0.9444  1 Se 2.18
3 Se 0.0000 0.0000 0.8788  4 P 2.80
4 Se 0.5000 0.5000 0.2340  1 P 2.18

***

2.
A relaxed structure of KPSe. Source: the Alexandria database, functional PBE.

- Symmetry: No. 187
- Excess energy over the best structure of this formula in the dataset: 444 meV per atom

a = 5.3032 Å, b = 5.3032 Å, c = 2.8581 Å
α = 90.00°, β = 90.00°, γ = 120.00°
With the nearest neighbours (Å) after each atom.
Positions (direct):
1 K 0.0000 0.0000 0.0007  2 K 2.86
2 P 0.3333 0.6667 0.4997  2 P 2.86, 3 Se 3.06
3 Se 0.6667 0.3333 0.4996  2 Se 2.86, 3 P 3.06

***

3.
A relaxed structure of KPSe2. Source: the Alexandria database, functional PBE.

- Symmetry: No. 71

a = 6.0130 Å, b = 6.0130 Å, c = 6.0130 Å
α = 146.21°, β = 116.87°, γ = 73.56°
With the nearest neighbours (Å) after each atom.
Positions (direct):
1 K 0.7500 0.2500 0.5000  2 K 3.49, 8 Se 3.57-3.58, 4 P 3.60
2 P 0.2500 0.7500 0.5000  4 Se 2.44
3 Se 0.0737 0.0737 0.0000  2 P 2.44
4 Se 0.4263 0.4263 0.0000  2 P 2.44

***

4.
A relaxed structure of KPSe2. Source: the Alexandria database, functional PBE.

- Symmetry: No. 194

a = 3.7882 Å, b = 3.7882 Å, c = 16.3137 Å
α = 90.00°, β = 90.00°, γ = 120.00°
With the nearest neighbours (Å) after each atom.
Positions (direct):
1 K 0.0000 0.0000 0.0000  6 Se 3.30
2 K 0.0000 0.0000 0.5000  6 Se 3.30
3 P 0.0000 0.0000 0.2500  6 Se 2.72
4 P 0.0000 0.0000 0.7500  6 Se 2.72
5 Se 0.6667 0.3333 0.1512  3 P 2.72
6 Se 0.3333 0.6667 0.6512  3 P 2.72
7 Se 0.3333 0.6667 0.8488  3 P 2.72
8 Se 0.6667 0.3333 0.3488  3 P 2.72

***

| no. | uncorrected formation energy (eV per atom) | magnetization (Bohr magnetons per cell) |
| --- | --- | --- |
| 1 | -0.3296 | 0.0 |
| 2 | 0.1040 | 0.0 |
| 3 | -0.2764 | 0.0 |
| 4 | -0.1571 | 0.0 |